Computed, not measured: crystalline Rb3YTh2S6 at its relaxed geometry at the GGA-PBE level of DFT.

ρ (g cm⁻³): 4.86
Spin magnetization (μB per atom): 0.000
Raw formation energy (kJ/mol of formula units): -1983

a = 7.1331 Å, b = 7.1331 Å, c = 8.1293 Å
α = 98.41°, β = 98.41°, γ = 120.00°
Closest atoms and distances in Å follow each position.
Fractional coordinates of all 12 atoms:
Rb (0.0000, 0.0000, 0.0000)  6 S 3.33-3.35
Rb (0.3333, 0.6667, 0.0000)  6 S 3.33-3.35
Rb (0.6667, 0.3333, 0.0000)  6 S 3.33-3.35
Y (0.5000, 0.5000, 0.5000)  6 S 2.82
Th (0.1666, 0.8334, 0.5000)  6 S 2.85
Th (0.8334, 0.1666, 0.5000)  6 S 2.85
S (0.1031, 0.4335, 0.3006)  1 Y 2.82, 2 Th 2.85
S (0.2361, 0.2361, 0.6995)  1 Y 2.82, 2 Th 2.85
S (0.4335, 0.1031, 0.3006)  1 Y 2.82, 2 Th 2.85
S (0.5665, 0.8969, 0.6994)  1 Y 2.82, 2 Th 2.85
S (0.7639, 0.7639, 0.3005)  1 Y 2.82, 2 Th 2.85
S (0.8969, 0.5665, 0.6994)  1 Y 2.82, 2 Th 2.85



Computed, not measured: crystalline BaY3Br11 at its relaxed geometry at the GGA-PBE level of DFT.

ρ (g cm⁻³): 3.42
Spin magnetization (μB per atom): 0.008
Raw formation energy (kJ/mol of formula units): -2682

a = 10.8888 Å, b = 5.6470 Å, c = 20.2424 Å
α = 90.00°, β = 90.00°, γ = 90.00°
Closest atoms and distances in Å follow each position.
Fractional coordinates of all 30 atoms:
Ba (0.2500, 0.0000, 0.0201)  4 Br 3.04-3.29
Ba (0.7500, 0.0000, 0.9799)  4 Br 3.04-3.29
Y (0.0000, 0.0000, 0.5000)  6 Br 2.81-2.83
Y (0.0027, 0.0000, 0.7660)  6 Br 2.79-2.83
Y (0.4973, 0.0000, 0.7660)  6 Br 2.79-2.83
Y (0.5000, 0.0000, 0.5000)  6 Br 2.81-2.83
Y (0.5027, 0.0000, 0.2340)  6 Br 2.79-2.83
Y (0.9973, 0.0000, 0.2340)  6 Br 2.79-2.83
Br (0.0000, 0.5000, 0.5000)  2 Y 2.82
Br (0.0060, 0.5000, 0.7640)  2 Y 2.82
Br (0.0407, 0.0000, 0.9029)  1 Y 2.80
Br (0.0717, 0.0000, 0.3668)  2 Y 2.81
Br (0.2500, 0.0000, 0.2004)  2 Y 2.83
Br (0.2500, 0.0000, 0.5375)  2 Y 2.83
Br (0.2500, 0.0000, 0.7303)  2 Y 2.79
Br (0.2500, 0.5000, 0.0755)  2 Ba 3.04
Br (0.4283, 0.0000, 0.3668)  2 Y 2.81
Br (0.4593, 0.0000, 0.9029)  1 Y 2.80
Br (0.4940, 0.5000, 0.7640)  2 Y 2.82
Br (0.5000, 0.5000, 0.5000)  2 Y 2.82
Br (0.5060, 0.5000, 0.2360)  2 Y 2.82
Br (0.5407, 0.0000, 0.0971)  1 Y 2.80
Br (0.5717, 0.0000, 0.6332)  2 Y 2.81
Br (0.7500, 0.0000, 0.2697)  2 Y 2.79
Br (0.7500, 0.0000, 0.4625)  2 Y 2.83
Br (0.7500, 0.0000, 0.7996)  2 Y 2.83
Br (0.7500, 0.5000, 0.9245)  2 Ba 3.04
Br (0.9283, 0.0000, 0.6332)  2 Y 2.81
Br (0.9593, 0.0000, 0.0971)  1 Y 2.80
Br (0.9940, 0.5000, 0.2360)  2 Y 2.82



Computed, not measured: crystalline Ca2YSe at its relaxed geometry at the GGA-PBE level of DFT.

ρ (g cm⁻³): 3.33
Spin magnetization (μB per atom): 0.044
Raw formation energy (kJ/mol of formula units): -294

a = 3.6521 Å, b = 3.6521 Å, c = 9.3274 Å
α = 90.00°, β = 90.00°, γ = 95.65°
Closest atoms and distances in Å follow each position.
Fractional coordinates of all 4 atoms:
Ca (0.0000, 0.0000, 0.1881)  4 Se 3.01-3.23
Ca (0.0000, 0.0000, 0.8119)  4 Se 3.01-3.23
Y (0.5000, 0.5000, 0.5000)  4 Y 3.65, 8 Ca 3.80-3.97
Se (0.5000, 0.5000, 0.0000)  8 Ca 3.01-3.23